# 1
First-principles (PBE-GGA) data for a relaxed Sm5Dy5Er2 crystal, as listed in Alexandria via LeMat-Bulk.

Cell lengths 15.145, 5.045, 11.301 Å; angles 90.00, 116.56, 90.00 degrees
Space group C2/m (No. 12)
Inequivalent atoms, fractional coordinates:
Sm: 0.000 0.000 0.000
Sm: 0.083 0.000 0.750
Sm: 0.166 0.000 0.500
Dy: 0.000 0.500 0.500
Dy: 0.167 0.500 0.001
Dy: 0.249 0.000 0.248
Er: 0.084 0.500 0.249

The calculation puts the formation energy at 0.017 eV per atom. The calculation puts the magnetization at 0.00 μB per cell. The density of states at the Fermi level comes out at 34.325 states/eV/cell. As for the raw total energy: -4.63 eV per atom.



# 2
First-principles (PBE-GGA) data for a relaxed CaZn3 crystal, as listed in Alexandria via LeMat-Bulk.

Cell lengths 6.697, 6.697, 6.697 Å; angles 90.00, 90.00, 90.00 degrees
Space group Fm-3m (No. 225)
Inequivalent atoms, fractional coordinates:
Ca: 0.000 0.000 0.000
Zn: 0.000 0.000 0.500
Zn: 0.250 0.250 0.250

The calculation puts the formation energy at -0.149 eV per atom. The calculation puts the magnetization at 0.00 μB per cell. The density of states at the Fermi level comes out at 5.912 states/eV/cell. As for the raw total energy: -1.60 eV per atom.



The lowest raw total energy belongs to which entry?
Sm5Dy5Er2



What is the magnetization in the first record?
0.00 μB per cell



Which value of raw total energy does entry 2 give?
-1.60 eV per atom